Be2SiPt: optimized geometry, PBE-GGA.

POSCAR file:
```
Be2SiPt
1.0
-2.2838 -0.0189 -5.1516
3.7708 -1.7998 0.6940
-0.9350 -2.3452 -1.0230
Si Be Pt
1 2 1
Direct
0.5000 0.5000 0.0000
0.0000 0.0000 0.0000
0.5000 0.0000 0.5000
0.0000 0.5000 0.5000
```

Results
The space group is No. 65. For the uncorrected formation energy, the calculation gives -23 kJ/mol of atoms. The value obtained for the uncorrected energy is -4.97 eV/atom.

Be2SiPt: optimized geometry, PBE-GGA.

POSCAR file:
```
Be2SiPt
1.0
-6.1239 1.9958 1.6115
-2.2586 -6.1726 -0.9385
-3.7529 -2.5980 2.6336
Be Si Pt
4 2 2
Direct
0.8750 0.8933 0.7500
0.1067 0.6250 0.2500
0.6433 0.1250 0.2500
0.3750 0.3567 0.7500
0.5000 0.5000 0.0000
0.2500 0.7500 0.5000
0.0000 0.0000 0.0000
0.7500 0.2500 0.5000
```

Results
The space group is No. 122. For the uncorrected formation energy, the calculation gives 19 kJ/mol of atoms. The value obtained for the uncorrected energy is -4.53 eV/atom.

Values of M_tot, in order: 0.00, 0.00, all in μB per formula unit.